Compound: AlTl2TeSe4
Source: Alexandria via LeMat-Bulk
Functional: PBE
Structure: optimized geometry

Computed properties:
- Formation energy without anion corrections: -0.35 eV/atom
- ρ: 6698 kg/m³
- DFT total energy: -3.54 eV/atom
- Space-group type: No. 15

Cell lengths 8.2975, 8.2975, 7.9450 Å; angles 115.35, 115.35, 89.71 degrees
Atoms (fractional coordinates):
Al 0.0000 0.0000 0.0000
Al 0.0000 0.0000 0.5000
Tl 0.0000 0.5000 0.0000
Tl 0.5000 0.0000 0.5000
Tl 0.5000 0.5000 0.0000
Tl 0.5000 0.5000 0.5000
Te 0.0000 0.5000 0.5000
Te 0.5000 0.0000 0.0000
Se 0.1801 0.1997 0.4148
Se 0.1997 0.1801 0.9148
Se 0.2034 0.7557 0.4803
Se 0.2443 0.7966 0.0197
Se 0.7557 0.2034 0.9803
Se 0.7966 0.2443 0.5197
Se 0.8003 0.8199 0.0852
Se 0.8199 0.8003 0.5852

---

Compound: CrOs2Au
Source: Alexandria via LeMat-Bulk
Functional: PBE
Structure: optimized geometry

Computed properties:
- ΔE to the lowest computed polymorph: 529 meV/atom
- ρ: 16239 kg/m³
- DFT total energy: -8.05 eV/atom
- Space-group type: No. 122
- Calculated formation energy: 0.79 eV per atom

Cell lengths 5.6177, 5.6177, 5.6177 Å; angles 102.27, 102.27, 125.09 degrees
Atoms (fractional coordinates):
Cr 0.0000 0.0000 0.0000
Cr 0.7500 0.2500 0.5000
Os 0.0690 0.1250 0.4440
Os 0.3750 0.9310 0.0560
Os 0.6810 0.6250 0.5560
Os 0.8750 0.3190 0.9440
Au 0.2500 0.7500 0.5000
Au 0.5000 0.5000 0.0000

---

Compound: Rb2CoCuSi
Source: Alexandria via LeMat-Bulk
Functional: PBE
Structure: optimized geometry

Computed properties:
- Formation energy without anion corrections: 0.72 eV/atom
- ρ: 2948 kg/m³
- DFT total energy: -2.99 eV/atom
- Space-group type: No. 123

Cell lengths 6.4447, 6.4447, 4.3599 Å; angles 90.00, 90.00, 90.00 degrees
Atoms (fractional coordinates):
Rb 0.0000 0.5000 0.0000
Rb 0.5000 0.0000 0.0000
Co 0.0000 0.0000 0.0000
Cu 0.5000 0.5000 0.5000
Si 0.0000 0.0000 0.5000

---

Compound: AlVNi2Br
Source: Alexandria via LeMat-Bulk
Functional: PBE
Structure: optimized geometry

Computed properties:
- Formation energy without anion corrections: 1.24 eV/atom
- ρ: 4974 kg/m³
- DFT total energy: -3.98 eV/atom
- Space-group type: No. 123

Cell lengths 4.2574, 4.2574, 5.0691 Å; angles 90.00, 90.00, 90.00 degrees
Atoms (fractional coordinates):
Al 0.0000 0.0000 0.0000
V 0.5000 0.5000 0.0000
Ni 0.0000 0.5000 0.5000
Ni 0.5000 0.0000 0.5000
Br 0.0000 0.0000 0.5000

---

Compound: CaTbPm2S4
Source: Alexandria via LeMat-Bulk
Functional: PBE
Structure: optimized geometry

Computed properties:
- Formation energy without anion corrections: -2.04 eV/atom
- ρ: 5659 kg/m³
- DFT total energy: -6.12 eV/atom
- Space-group type: No. 10

Cell lengths 6.9204, 3.9791, 6.9607 Å; angles 90.00, 109.10, 90.00 degrees
Atoms (fractional coordinates):
Ca 0.0000 0.0000 0.0000
Tb 0.5000 0.5000 0.0000
Pm 0.0000 0.5000 0.5000
Pm 0.5000 0.0000 0.5000
S 0.2490 0.5000 0.2423
S 0.2536 0.0000 0.7596
S 0.7464 0.0000 0.2404
S 0.7510 0.5000 0.7577

---

Compound: Li4LaPd2
Source: Alexandria via LeMat-Bulk
Functional: PBE
Structure: optimized geometry

Computed properties:
- ΔE to the lowest computed polymorph: 0 meV/atom
- ρ: 4859 kg/m³
- DFT total energy: -3.70 eV/atom
- Space-group type: No. 136
- Calculated formation energy: -0.42 eV per atom

Cell lengths 7.8563, 7.8563, 4.2023 Å; angles 90.00, 90.00, 90.00 degrees
Atoms (fractional coordinates):
Li 0.0972 0.3497 0.0000
Li 0.1503 0.5972 0.5000
Li 0.3497 0.0972 0.0000
Li 0.4028 0.8497 0.5000
Li 0.5972 0.1503 0.5000
Li 0.6503 0.9028 0.0000
Li 0.8497 0.4028 0.5000
Li 0.9028 0.6503 0.0000
La 0.0000 0.0000 0.5000
La 0.5000 0.5000 0.0000
Pd 0.2067 0.7933 0.0000
Pd 0.2933 0.2933 0.5000
Pd 0.7067 0.7067 0.5000
Pd 0.7933 0.2067 0.0000

---

Compound: BaNaLa2Mg
Source: Alexandria via LeMat-Bulk
Functional: PBE
Structure: optimized geometry

Computed properties:
- ρ: 3751 kg/m³
- DFT total energy: -2.44 eV/atom
- Space-group type: No. 123
- Calculated formation energy: 0.50 eV per atom

Cell lengths 6.0538, 6.0538, 5.5863 Å; angles 90.00, 90.00, 90.00 degrees
Atoms (fractional coordinates):
Ba 0.0000 0.0000 0.0000
Na 0.5000 0.5000 0.5000
La 0.0000 0.5000 0.5000
La 0.5000 0.0000 0.5000
Mg 0.5000 0.5000 0.0000

---

Compound: Pm2Be4Pt3Rh
Source: Alexandria via LeMat-Bulk
Functional: PBE
Structure: optimized geometry

Computed properties:
- ρ: 10697 kg/m³
- DFT total energy: -5.82 eV/atom
- Space-group type: No. 115
- Calculated formation energy: -0.83 eV per atom

Cell lengths 4.0776, 4.0776, 9.4691 Å; angles 90.00, 90.00, 90.00 degrees
Atoms (fractional coordinates):
Pm 0.0000 0.5000 0.2467
Pm 0.5000 0.0000 0.7533
Be 0.0000 0.0000 0.5000
Be 0.0000 0.5000 0.8799
Be 0.5000 0.0000 0.1201
Be 0.5000 0.5000 0.5000
Pt 0.0000 0.0000 0.0000
Pt 0.0000 0.5000 0.6231
Pt 0.5000 0.0000 0.3769
Rh 0.5000 0.5000 0.0000

---

Compound: RbNa2CdPt
Source: Alexandria via LeMat-Bulk
Functional: PBE
Structure: optimized geometry

Computed properties:
- ρ: 4341 kg/m³
- DFT total energy: -2.21 eV/atom
- Space-group type: No. 123
- Calculated formation energy: -0.10 eV per atom

Cell lengths 5.5834, 5.5834, 5.3856 Å; angles 90.00, 90.00, 90.00 degrees
Atoms (fractional coordinates):
Rb 0.0000 0.0000 0.0000
Na 0.0000 0.5000 0.5000
Na 0.5000 0.0000 0.5000
Cd 0.5000 0.5000 0.0000
Pt 0.5000 0.5000 0.5000

---

Compound: K12PbAu5
Source: Alexandria via LeMat-Bulk
Functional: PBE
Structure: optimized geometry

Computed properties:
- ρ: 3712 kg/m³
- DFT total energy: -2.07 eV/atom
- Space-group type: No. 71
- Calculated formation energy: -0.22 eV per atom

Cell lengths 9.9147, 9.9147, 9.9147 Å; angles 113.27, 112.31, 103.02 degrees
Atoms (fractional coordinates):
K 0.0238 0.8501 0.1737
K 0.2500 0.5678 0.3178
K 0.2500 0.9322 0.6822
K 0.2869 0.3241 0.6109
K 0.2869 0.6759 0.9628
K 0.3237 0.1499 0.1737
K 0.6763 0.8501 0.8263
K 0.7131 0.3241 0.0372
K 0.7131 0.6759 0.3891
K 0.7500 0.0678 0.3178
K 0.7500 0.4322 0.6822
K 0.9762 0.1499 0.8263
Pb 0.5000 0.0000 0.5000
Au 0.0000 0.2216 0.2216
Au 0.0000 0.5000 0.5000
Au 0.0000 0.7784 0.7784
Au 0.3803 0.3803 0.0000
Au 0.6197 0.6197 0.0000

---

Compound: ScNi2P
Source: Alexandria via LeMat-Bulk
Functional: PBE
Structure: optimized geometry

Computed properties:
- ΔE to the lowest computed polymorph: 203 meV/atom
- ρ: 5703 kg/m³
- DFT total energy: -6.50 eV/atom
- Space-group type: No. 166
- Calculated formation energy: -0.68 eV per atom

Cell lengths 4.9631, 4.9631, 4.9631 Å; angles 45.32, 45.32, 45.32 degrees
Atoms (fractional coordinates):
Sc 0.0000 0.0000 0.0000
Ni 0.2066 0.2066 0.2066
Ni 0.7934 0.7934 0.7934
P 0.5000 0.5000 0.5000